An optimized crystal structure of Li3Mn4CoO8. Source: Alexandria, functional PBE with a Hubbard U.

The structure in CIF format:
```
data_Li3Mn4CoO8
_chemical_formula_sum 'Li6 Mn8 Co2 O16'
_space_group_name_H-M_alt 'C 1 2/m 1'
_space_group_IT_number 12
_space_group_name_Hall '-C 2y'
_cell_length_a 10.2733
_cell_length_b 6.1060
_cell_length_c 6.1159
_cell_angle_alpha 90.00
_cell_angle_beta 125.92
_cell_angle_gamma 90.00
loop_
_atom_site_label
_atom_site_fract_x
_atom_site_fract_y
_atom_site_fract_z
Li1 0.0000 0.0000 0.0000
Li2 0.2500 0.2500 0.0000
Mn1 0.0000 0.0000 0.5000
Mn2 0.0000 0.5000 0.0000
Mn3 0.2500 0.2500 0.5000
Co1 0.0000 0.5000 0.5000
O1 0.0126 0.2502 0.2620
O2 0.2408 0.5000 0.7011
O3 0.2496 0.0000 0.7676
```

Values from the calculation:
calculated total energy = -212.99 eV/cell